No. 1
VASP calculation (GGA-PBE) on a geometry-optimized SmHoBr structure.

Calculated values
- D(E_F) (states/eV per atom) = 1.230
- space-group type = Cmcm
- total magnetic moment (μB per formula unit) = 0.2
- polymorph energy (0 for the lowest one) (eV/atom) = 0.375
- VASP energy (eV/atom) = -4.02
- ΔE_f (raw) (eV/f.u.) = -1.1

a b c (Å): 3.6920 6.5752 8.7724
angles (deg): 67.99 90.00 90.00
Site moments in Bohr magnetons follow the coordinates.
Fractional coordinates of all 6 atoms:
Br  0.7500  0.7260  0.5480  0.00
Br  0.2500  0.2740  0.4520  0.00
Ho  0.7500  0.4128  0.1744  0.23
Ho  0.2500  0.5872  0.8256  0.23
Sm  0.2500  0.0891  0.8218  -0.05
Sm  0.7500  0.9109  0.1782  -0.05

***

No. 2
VASP calculation (GGA-PBE) on a geometry-optimized Mg2AlGeOs structure.

Calculated values
- D(E_F) (states/eV per atom) = 0.727
- space-group type = P4/mmm
- total magnetic moment (μB per formula unit) = 2.3
- ΔH_f (0 K) (kJ per mole of atoms) = 131.5
- VASP energy (eV/atom) = -3.19

a b c (Å): 4.9645 4.7243 4.9645
angles (deg): 90.00 90.00 90.00
Site moments in Bohr magnetons follow the coordinates.
Fractional coordinates of all 5 atoms:
Al  0.0000  0.0000  0.0000  0.05
Mg  0.5000  0.0000  0.0000  0.00
Mg  0.0000  0.0000  0.5000  0.00
Os  0.5000  0.5000  0.5000  2.06
Ge  0.0000  0.5000  0.0000  -0.05

***

No. 3
VASP calculation (GGA-PBE) on a geometry-optimized LaTa2Os structure.

Calculated values
- D(E_F) (states/eV per atom) = 1.013
- space-group type = C2/m
- total magnetic moment (μB per formula unit) = 0.0
- ΔH_f (0 K) (kJ per mole of atoms) = 42.9
- polymorph energy (0 for the lowest one) (eV/atom) = 0.356
- VASP energy (eV/atom) = -9.52

a b c (Å): 5.5301 5.5466 2.9900
angles (deg): 80.19 78.53 116.42
Fractional coordinates of all 4 atoms:
La  0.0000  0.5000  0.5000
Ta  0.0000  0.0000  0.0000
Ta  0.5000  0.0000  0.5000
Os  0.5000  0.5000  0.0000